Record 1
Density functional theory data (GGA-PBE) for a relaxed Tb2HoIn3Ag3 crystal.

Values from the calculation:
ρ = 9.10 g/cm3
total DFT energy (no corrections) = -3.82 eV/atom
space-group type = Amm2

Lattice parameters (Å, degrees): 3.9456 7.8344 7.8344 119.90 90.00 90.00
Closest atoms and distances in Å follow each position.
Element x y z (fractional)
Tb1 0.0000 0.2028 0.7972  5 Ag 3.10-3.18, 6 In 3.26-3.43
Tb2 0.0000 0.7972 0.2028  5 Ag 3.10-3.18, 6 In 3.26-3.43
Ho1 0.0000 0.6079 0.6079  5 Ag 3.08-3.17, 6 In 3.27-3.41
In1 0.5000 0.2035 0.4658  4 Ag 2.85-2.94
In2 0.5000 0.4658 0.2035  4 Ag 2.85-2.94
In3 0.5000 0.9403 0.9403  4 Ag 2.86-2.92
Ag1 0.0000 0.2035 0.2035  6 In 2.85-2.86, 1 Ho 3.17, 2 Tb 3.18
Ag2 0.5000 0.5370 0.8684  3 In 2.92-2.94, 2 Ho 3.08, 4 Tb 3.10
Ag3 0.5000 0.8684 0.5370  3 In 2.92-2.94, 2 Ho 3.08, 4 Tb 3.10

***

Record 2
Density functional theory data (GGA-PBE) for a relaxed Ho3Mg3Ag2Ir crystal.

Values from the calculation:
ρ = 8.00 g/cm3
total DFT energy (no corrections) = -4.05 eV/atom
space-group type = P-62m

Lattice parameters (Å, degrees): 7.4056 7.4056 4.2618 90.00 90.00 120.00
Closest atoms and distances in Å follow each position.
Element x y z (fractional)
Ho1 0.0000 0.3936 0.0000  1 Ir 2.91, 4 Ag 3.12
Ho2 0.3936 0.0000 0.0000  1 Ir 2.91, 4 Ag 3.12
Ho3 0.6064 0.6064 0.0000  1 Ir 2.91, 4 Ag 3.12
Mg1 0.0000 0.7626 0.5000  2 Ir 2.76, 2 Ag 2.89, 2 Mg 3.05
Mg2 0.2374 0.2374 0.5000  2 Ir 2.76, 2 Ag 2.89, 2 Mg 3.05
Mg3 0.7626 0.0000 0.5000  2 Ir 2.76, 2 Ag 2.89, 2 Mg 3.05
Ag1 0.3333 0.6667 0.5000  3 Mg 2.89, 6 Ho 3.12
Ag2 0.6667 0.3333 0.5000  3 Mg 2.89, 6 Ho 3.12
Ir1 0.0000 0.0000 0.0000  6 Mg 2.76, 3 Ho 2.91

***

Record 3
Density functional theory data (GGA-PBE) for a relaxed Ho3Mg3AgIrPt crystal.

Values from the calculation:
ρ = 9.15 g/cm3
total DFT energy (no corrections) = -4.66 eV/atom
space-group type = P-6

Lattice parameters (Å, degrees): 7.4769 7.4769 3.9838 90.00 90.00 120.00
Closest atoms and distances in Å follow each position.
Element x y z (fractional)
Ho1 0.0908 0.3427 0.0000  2 Ir 2.95, 2 Pt 3.04, 1 Ag 3.14, 2 Mg 3.15
Ho2 0.2519 0.9092 0.0000  2 Ir 2.95, 2 Pt 3.04, 1 Ag 3.14, 2 Mg 3.15
Ho3 0.6573 0.7481 0.0000  2 Ir 2.95, 2 Pt 3.04, 1 Ag 3.14, 2 Mg 3.15
Mg1 0.4124 0.3343 0.5000  2 Ag 2.76, 1 Ir 2.83, 1 Pt 2.84
Mg2 0.6657 0.0781 0.5000  2 Ag 2.76, 1 Ir 2.83, 1 Pt 2.84
Mg3 0.9219 0.5876 0.5000  2 Ag 2.76, 1 Ir 2.83, 1 Pt 2.84
Ag1 0.6667 0.3333 0.0000  6 Mg 2.76
Ir1 0.3333 0.6667 0.5000  3 Mg 2.83, 6 Ho 2.95
Pt1 0.0000 0.0000 0.5000  3 Mg 2.84, 6 Ho 3.04

***

Record 4
Density functional theory data (GGA-PBE) for a relaxed Ho3Mg3ZnAgIr crystal.

Values from the calculation:
ρ = 7.72 g/cm3
total DFT energy (no corrections) = -3.92 eV/atom
space-group type = P-6

Lattice parameters (Å, degrees): 7.6916 7.6916 3.9163 90.00 90.00 120.00
Closest atoms and distances in Å follow each position.
Element x y z (fractional)
Ho1 0.0965 0.3625 0.0000  2 Ir 2.89, 2 Zn 3.18, 1 Ag 3.20, 2 Mg 3.21
Ho2 0.2660 0.9035 0.0000  2 Ir 2.89, 2 Zn 3.18, 1 Ag 3.20, 2 Mg 3.21
Ho3 0.6375 0.7340 0.0000  2 Ir 2.89, 2 Zn 3.18, 1 Ag 3.20, 2 Mg 3.21
Mg1 0.4089 0.3287 0.5000  2 Ag 2.77, 1 Zn 2.89, 1 Ir 2.93
Mg2 0.6713 0.0802 0.5000  2 Ag 2.77, 1 Zn 2.89, 1 Ir 2.93
Mg3 0.9198 0.5911 0.5000  2 Ag 2.77, 1 Zn 2.89, 1 Ir 2.93
Zn1 0.0000 0.0000 0.5000  3 Mg 2.89, 6 Ho 3.18
Ag1 0.6667 0.3333 0.0000  6 Mg 2.77
Ir1 0.3333 0.6667 0.5000  6 Ho 2.89, 3 Mg 2.93